First-principles (PBE) data for crystalline KBiPb2 at its relaxed geometry, as listed in the Alexandria database.

Cell lengths 4.8766, 4.8766, 12.3453 Å; angles 90.00, 90.00, 90.00 degrees
Last column: nearest neighbours and their distance in Å.
Space group P4/nmm (No. 129, origin choice 2)
Symmetry-distinct sites (fractional):
K 0.2500 0.2500 0.2322 [2 per cell]  1 Pb 3.46, 4 Bi 3.57
Bi 0.2500 0.2500 0.6934 [2 per cell]  5 Pb 3.19-3.41, 4 K 3.57
Pb 0.2500 0.2500 0.9518 [2 per cell]  1 Bi 3.19, 1 K 3.46
Pb 0.2500 0.7500 0.5000 [2 per cell]  4 Bi 3.41, 4 Pb 3.45

Calculated values
Energy of formation (eV/atom): -0.070
Raw total energy (eV for the cell shown): -25.35
Total moment (Bohr magnetons per cell): 0.0

***

First-principles (PBE) data for crystalline PmHo2Sc3 at its relaxed geometry, as listed in the Alexandria database.

Cell lengths 5.9618, 3.4456, 16.5997 Å; angles 90.00, 96.88, 90.00 degrees
Last column: nearest neighbours and their distance in Å.
Space group P2_1/m (No. 11)
Symmetry-distinct sites (fractional):
Pm 0.0281 0.2500 0.3323 [2 per cell]  6 Sc 3.40-3.42, 4 Ho 3.43-3.45, 2 Pm 3.45
Ho 0.2502 0.2500 0.0000 [2 per cell]  6 Sc 3.37-3.38, 6 Ho 3.44-3.45
Ho 0.4734 0.2500 0.6673 [2 per cell]  6 Sc 3.39-3.40, 4 Pm 3.43-3.45, 2 Ho 3.45
Sc 0.1390 0.7500 0.1649 [2 per cell]  4 Ho 3.37-3.40, 2 Pm 3.40, 6 Sc 3.43-3.45
Sc 0.2526 0.7500 0.5008 [2 per cell]  3 Ho 3.39-3.40, 3 Pm 3.40-3.42, 6 Sc 3.42-3.47
Sc 0.3624 0.7500 0.8343 [2 per cell]  5 Ho 3.37-3.40, 1 Pm 3.40, 6 Sc 3.43-3.45

Calculated values
Energy of formation (eV/atom): 0.069
Raw total energy (eV for the cell shown): -64.97
Total moment (Bohr magnetons per cell): 0.0

***

First-principles (PBE) data for crystalline SrRu2Rh at its relaxed geometry, as listed in the Alexandria database.

Cell lengths 2.8406, 2.8406, 29.2749 Å; angles 90.00, 90.00, 120.00 degrees
Last column: nearest neighbours and their distance in Å.
Space group R-3m (No. 166, hexagonal axes)
Symmetry-distinct sites (fractional):
Sr 0.0000 0.0000 0.0000 [3 per cell]  6 Sr 2.84
Ru 0.0000 0.0000 0.2393 [6 per cell]  3 Rh 2.69, 6 Ru 2.84
Rh 0.0000 0.0000 0.5000 [3 per cell]  6 Ru 2.69, 6 Rh 2.84

Calculated values
Energy of formation (eV/atom): 0.812
Raw total energy (eV for the cell shown): -73.01
Total moment (Bohr magnetons per cell): 0.0
Energy relative to the lowest polymorph listed for this composition (eV/atom): 0.437